(1)
Entry from Alexandria via LeMat-Bulk: SrNpAgBr6 after structural relaxation (PBE).

Results
Its uncorrected formation energy is -1.321 eV/atom. The total magnetic moment comes out at 0.444 μB per atom. Its density is 4.82 g cm⁻³.

Structure (POSCAR):
```
SrNpAgBr6
1.0
7.5580 0.0000 0.0000
-3.7790 6.5454 0.0000
0.0000 0.0000 12.6951
Sr Np Ag Br
2 2 2 12
Direct
0.3333 0.6667 0.2500 Sr
0.6667 0.3333 0.7500 Sr
0.3333 0.6667 0.7500 Np
0.6667 0.3333 0.2500 Np
0.0000 0.0000 0.0000 Ag
0.0000 0.0000 0.5000 Ag
0.0169 0.3413 0.6243 Br
0.0169 0.6757 0.8757 Br
0.3243 0.3413 0.8757 Br
0.3243 0.9831 0.6243 Br
0.3413 0.0169 0.1243 Br
0.3413 0.3243 0.3757 Br
0.6587 0.6757 0.6243 Br
0.6587 0.9831 0.8757 Br
0.6757 0.0169 0.3757 Br
0.6757 0.6587 0.1243 Br
0.9831 0.3243 0.1243 Br
0.9831 0.6587 0.3757 Br
```

---

(2)
Entry from Alexandria via LeMat-Bulk: BaPrPbAu after structural relaxation (PBE).

Results
The total magnetic moment comes out at 0.000 μB per atom. Its density is 8.70 g cm⁻³. Its energy of formation is -0.543 eV/atom.

Structure (POSCAR):
```
BaPrPbAu
1.0
0.0000 4.0230 4.0230
4.0230 0.0000 4.0230
4.0230 4.0230 0.0000
Ba Pr Pb Au
1 1 1 1
Direct
0.0000 0.0000 0.0000 Ba
0.5000 0.5000 0.5000 Pr
0.2500 0.2500 0.2500 Pb
0.7500 0.7500 0.7500 Au
```

---

(3)
Entry from Alexandria via LeMat-Bulk: MoAs after structural relaxation (PBE).

Results
The total magnetic moment comes out at 0.000 μB per atom. Its density is 8.86 g cm⁻³. Its energy of formation is 0.125 eV/atom.

Structure (POSCAR):
```
MoAs
1.0
1.5377 0.8878 3.9098
-1.5377 0.8878 3.9098
0.0000 -1.7755 3.9098
Mo As
1 1
Direct
0.0000 0.0000 0.0000 Mo
0.5000 0.5000 0.5000 As
```

---

(4)
Entry from Alexandria via LeMat-Bulk: Y4TeAuS2 after structural relaxation (PBE).

Results
Its uncorrected formation energy is -1.506 eV/atom. The total magnetic moment comes out at 0.000 μB per atom. Its density is 6.33 g cm⁻³.

Structure (POSCAR):
```
Y4TeAuS2
1.0
6.9967 0.0000 0.0000
0.0000 3.9739 0.0000
-2.2283 0.0000 7.0267
Y Te Au S
4 1 1 2
Direct
0.2286 0.0000 0.2169 Y
0.2501 0.5000 0.7731 Y
0.7499 0.5000 0.2269 Y
0.7714 0.0000 0.7831 Y
0.5000 0.5000 0.5000 Te
0.0000 0.0000 0.5000 Au
0.0000 0.5000 0.0000 S
0.5000 0.0000 0.0000 S
```

---

(5)
Entry from Alexandria via LeMat-Bulk: NaAc2C2 after structural relaxation (PBE).

Results
The total magnetic moment comes out at 0.000 μB per atom. Its density is 5.43 g cm⁻³. Its energy of formation is 0.008 eV/atom.

Structure (POSCAR):
```
NaAc2C2
1.0
10.0364 -2.1842 0.0000
10.0364 2.1842 0.0000
-0.8667 0.0000 6.9918
Na Ac C
2 4 4
Direct
0.1785 0.8215 0.7500 Na
0.8215 0.1785 0.2500 Na
0.1476 0.5091 0.3448 Ac
0.4909 0.8524 0.1552 Ac
0.5091 0.1476 0.8448 Ac
0.8524 0.4909 0.6552 Ac
0.0983 0.3651 0.0313 C
0.3651 0.0983 0.5313 C
0.6349 0.9017 0.4687 C
0.9017 0.6349 0.9687 C
```

---

(6)
Entry from Alexandria via LeMat-Bulk: CrHSe2 after structural relaxation (PBE).

Results
The total magnetic moment comes out at 0.750 μB per atom. Its density is 4.62 g cm⁻³. The value obtained for the energy above the most stable polymorph in this dataset is 0.10 eV per formula unit.

Structure (POSCAR):
```
CrHSe2
1.0
1.8887 1.0905 6.1379
-1.8887 1.0905 6.1379
0.0000 -2.1809 6.1379
Cr H Se
1 1 2
Direct
0.0000 0.0000 0.0000 Cr
0.5000 0.5000 0.5000 H
0.4043 0.4043 0.4043 Se
0.5957 0.5957 0.5957 Se
```